# 1
A relaxed structure of LaSiPt, computed with PBEsol.

Cell: 4.1811 4.1811 4.2973 Å, 90.00 90.00 120.00°
Last column: nearest neighbours and their distance in Å.
Space group P-6m2 (No. 187)
Symmetry-distinct sites (fractional):
La1 0.0000 0.0000 0.0000 [1 per cell]  6 Pt 3.23, 6 Si 3.23
Si1 0.6667 0.3333 0.5000 [1 per cell]  3 Pt 2.41
Pt1 0.3333 0.6667 0.5000 [1 per cell]  3 Si 2.41

Values from the calculation:
raw formation energy: -1.12 eV per atom
final energy: -7.14 eV per atom
mass density: 9.24 g cm⁻³


# 2
A relaxed structure of LaSiPt2, computed with PBEsol.

Cell: 4.1835 4.1835 15.6314 Å, 90.00 90.00 120.00°
Last column: nearest neighbours and their distance in Å.
Space group R-3m (No. 166, hexagonal axes)
Symmetry-distinct sites (fractional):
La1 0.0000 0.0000 0.0000 [3 per cell]  8 Pt 3.10-3.26
Si1 0.0000 0.0000 0.5000 [3 per cell]  6 Pt 2.50
Pt1 0.0000 0.0000 0.2085 [6 per cell]  3 Si 2.50, 3 Pt 2.75

Values from the calculation:
raw formation energy: -1.02 eV per atom
final energy: -7.28 eV per atom
mass density: 11.72 g cm⁻³


# 3
A relaxed structure of LaSi2Pt2, computed with PBEsol.

Cell: 4.2918 4.2918 9.8914 Å, 90.00 90.00 90.00°
Last column: nearest neighbours and their distance in Å.
Space group I4/mmm (No. 139)
Symmetry-distinct sites (fractional):
La1 0.0000 0.0000 0.0000 [2 per cell]  8 Si 3.27, 10 Pt 3.32-3.59
Si1 0.0000 0.5000 0.2500 [4 per cell]  4 Pt 2.42
Pt1 0.0000 0.0000 0.3630 [4 per cell]  4 Si 2.42, 1 Pt 2.71

Values from the calculation:
raw formation energy: -1.11 eV per atom
final energy: -7.26 eV per atom
mass density: 10.67 g cm⁻³


# 4
A relaxed structure of LaSiPt, computed with PBEsol.

Cell: 6.5340 6.5340 6.5340 Å, 90.00 90.00 90.00°
Last column: nearest neighbours and their distance in Å.
Space group F-43m (No. 216)
Symmetry-distinct sites (fractional):
La1 0.0000 0.0000 0.0000 [4 per cell]  4 Pt 2.83
Si1 0.0000 0.0000 0.5000 [4 per cell]  4 Pt 2.83
Pt1 0.2500 0.2500 0.2500 [4 per cell]  4 La 2.83, 4 Si 2.83

Values from the calculation:
raw formation energy: -0.67 eV per atom
final energy: -6.69 eV per atom
mass density: 8.62 g cm⁻³


# 5
A relaxed structure of LaSiPt, computed with PBEsol.

Cell: 4.2273 4.2273 14.4536 Å, 90.00 90.00 90.00°
Last column: nearest neighbours and their distance in Å.
Space group I4_1md (No. 109)
Symmetry-distinct sites (fractional):
La1 0.0000 0.0000 0.0000 [4 per cell]  6 Pt 3.16-3.25, 6 Si 3.21-3.24
Si1 0.0000 0.0000 0.5805 [4 per cell]  3 Pt 2.42-2.43
Pt1 0.0000 0.0000 0.4125 [4 per cell]  3 Si 2.42-2.43

Values from the calculation:
raw formation energy: -1.15 eV per atom
final energy: -7.17 eV per atom
mass density: 9.31 g cm⁻³


# 6
A relaxed structure of LaSi2Pt2, computed with PBEsol.

Cell: 4.2679 4.2679 9.8144 Å, 90.00 90.00 90.00°
Last column: nearest neighbours and their distance in Å.
Space group P4/nmm (No. 129, origin choice 2)
Symmetry-distinct sites (fractional):
La1 0.2500 0.2500 0.2441 [2 per cell]  8 Si 3.21-3.26, 9 Pt 3.25-3.58
Si1 0.2500 0.2500 0.6302 [2 per cell]  5 Pt 2.45-2.49
Si2 0.2500 0.7500 0.0000 [2 per cell]  4 Pt 2.44
Pt1 0.2500 0.2500 0.8794 [2 per cell]  5 Si 2.44-2.45
Pt2 0.2500 0.7500 0.5000 [2 per cell]  4 Si 2.49

Values from the calculation:
raw formation energy: -1.17 eV per atom
final energy: -7.32 eV per atom
mass density: 10.87 g cm⁻³